Model a:
Density functional theory data (GGA-PBE) for an optimized crystal structure of TaBeCoSn.

Cell and atoms, written as POSCAR:
```
TaBeCoSn
1.0
0.0000 3.0631 3.0631
3.0631 0.0000 3.0631
3.0631 3.0631 0.0000
Ta Be Co Sn
1 1 1 1
Cartesian
0.0000 0.0000 0.0000
1.5316 1.5316 1.5316
4.5947 4.5947 4.5947
3.0631 3.0631 3.0631
```

Calculated values
- size of the total moment (μB/cell) = 0.018
- space-group type = F-43m (216)

=====

Model b:
Density functional theory data (GGA-PBE) for an optimized crystal structure of TaBeCoSn.

Cell and atoms, written as POSCAR:
```
TaBeCoSn
1.0
0.0000 3.1101 3.1101
3.1101 0.0000 3.1101
3.1101 3.1101 0.0000
Ta Be Co Sn
1 1 1 1
Cartesian
0.0000 0.0000 0.0000
4.6652 4.6652 4.6652
3.1101 3.1101 3.1101
1.5551 1.5551 1.5551
```

Calculated values
- size of the total moment (μB/cell) = 2.004
- space-group type = F-43m (216)

=====

Most stable structure - model a; separation to the second - 0.256 eV/atom.